Record 1
The following is a DFT calculation (PBE) of ZrAl2N after structural relaxation.

Unit cell a=6.9532 b=6.9532 c=4.8499 alpha=90.00 beta=90.00 gamma=90.00
Space group I-42d (No. 122)
Asymmetric unit:
Zr1 0.0000 0.0000 0.0000 [4 per cell]
Al1 0.1549 0.2500 0.6250 [8 per cell]
N1 0.0000 0.0000 0.5000 [4 per cell]

Summary:
DOS(E_F), states/eV/cell: 8.5
E_form (uncorrected), meV per atom: -214.7
Size of the total moment, μB/cell: 0.00

Record 2
The following is a DFT calculation (PBE) of Tl2NiGeS4 after structural relaxation.

Unit cell a=6.3693 b=14.2303 c=19.9294 alpha=90.00 beta=90.00 gamma=90.00
Space group Fddd (No. 70, origin choice 2)
Asymmetric unit:
Tl1 0.1250 0.1250 0.2920 [16 per cell]
Ni1 0.1250 0.1250 0.1250 [8 per cell]
Ge1 0.1250 0.1250 0.6250 [8 per cell]
S1 0.1181 0.2756 0.4096 [32 per cell]

Summary:
DOS(E_F), states/eV/cell: 1.7
E_form (uncorrected), meV per atom: -269.8
Size of the total moment, μB/cell: 0.00

Record 3
The following is a DFT calculation (PBE) of Rb5Na4Hg after structural relaxation.

Unit cell a=4.7944 b=4.7944 c=24.8792 alpha=90.00 beta=90.00 gamma=90.00
Space group P4/mmm (No. 123)
Asymmetric unit:
Rb1 0.0000 0.0000 0.0000 [1 per cell]
Rb2 0.0000 0.0000 0.2094 [2 per cell]
Rb3 0.0000 0.0000 0.4156 [2 per cell]
Na1 0.5000 0.5000 0.1054 [2 per cell]
Na2 0.5000 0.5000 0.3149 [2 per cell]
Hg1 0.5000 0.5000 0.5000 [1 per cell]

Summary:
DOS(E_F), states/eV/cell: 6.7
Energy of formation, eV/atom: -0.01
Size of the total moment, μB/cell: 0.00

Record 4
The following is a DFT calculation (PBE) of K2PuPbF8 after structural relaxation.

Unit cell a=6.0039 b=6.0039 c=11.5094 alpha=90.00 beta=90.00 gamma=90.00
Space group I-4m2 (No. 119)
Asymmetric unit:
K1 0.0000 0.0000 0.0000 [2 per cell]
K2 0.0000 0.5000 0.2500 [2 per cell]
Pu1 0.0000 0.5000 0.7500 [2 per cell]
Pb1 0.0000 0.0000 0.5000 [2 per cell]
F1 0.2135 0.2735 0.6342 [16 per cell]

Summary:
DOS(E_F), states/eV/cell: 15.6
E_form (uncorrected), meV per atom: -3021.7
Size of the total moment, μB/cell: 8.00

Record 5
The following is a DFT calculation (PBE) of Ti3Au3N after structural relaxation.

Unit cell a=12.0234 b=12.0234 c=12.0234 alpha=90.00 beta=90.00 gamma=90.00
Space group Fd-3m (No. 227, origin choice 2)
Asymmetric unit:
Ti1 0.0535 0.3750 0.3750 [48 per cell]
Au1 0.0000 0.0000 0.5000 [16 per cell]
Au2 0.0297 0.0297 0.7203 [32 per cell]
N1 0.0000 0.0000 0.0000 [16 per cell]

Summary:
DOS(E_F), states/eV/cell: 98.5
E_form (uncorrected), meV per atom: -616.1
Size of the total moment, μB/cell: 0.07